<one>
Material: CaLaHo
Method: DFT, PBE-GGA
State: relaxed Values from VASP.

```
&SYSTEM
  ibrav = 0, nat = 6, ntyp = 3
/
ATOMIC_SPECIES
Ca 40.08 Ca.upf
La 138.91 La.upf
Ho 164.93 Ho.upf
CELL_PARAMETERS angstrom
-3.0885 0.6196 1.7890
-1.6781 -2.5879 -2.0008
5.7759 -11.7548 10.3752
ATOMIC_POSITIONS crystal
Ca 0.9501 0.7511 0.9002
Ca 0.0499 0.2489 0.0998
La 0.6367 0.7486 0.2734
La 0.3633 0.2514 0.7266
Ho 0.7869 0.7505 0.5738
Ho 0.2131 0.2495 0.4262
```

Output
Density, g/cm3: 5.16
Calculated volume, A^3/atom: 36.871
SG: C2/m

<two>
Material: CaLaHo
Method: DFT, PBE-GGA
State: relaxed Values from VASP.

```
&SYSTEM
  ibrav = 0, nat = 6, ntyp = 3
/
ATOMIC_SPECIES
Ca 40.08 Ca.upf
La 138.91 La.upf
Ho 164.93 Ho.upf
CELL_PARAMETERS angstrom
-4.1404 0.4330 -3.9783
-3.2794 -4.5648 -1.2510
-7.8432 0.8815 4.0915
ATOMIC_POSITIONS crystal
Ca 0.5657 0.5657 0.3028
Ca 0.4343 0.4343 0.6972
La 0.2857 0.2857 0.1428
La 0.7143 0.7143 0.8572
Ho 0.8578 0.8578 0.4266
Ho 0.1422 0.1422 0.5734
```

Output
Density, g/cm3: 4.82
Calculated volume, A^3/atom: 39.460
SG: R-3m

Result of the stability comparison: <two> is the least stable of them.

<one>
Material: CaHoLu2
Method: DFT, PBE-GGA
State: relaxed Values from VASP.

```
&SYSTEM
  ibrav = 0, nat = 4, ntyp = 3
/
ATOMIC_SPECIES
Ca 40.08 Ca.upf
Lu 174.97 Lu.upf
Ho 164.93 Ho.upf
CELL_PARAMETERS angstrom
3.4971 0.0000 0.0000
1.7486 3.0286 0.0000
1.7486 1.0095 12.2953
ATOMIC_POSITIONS crystal
Ca 0.0000 0.0000 0.0000
Lu 0.0912 0.0912 0.7263
Lu 0.9088 0.9088 0.2737
Ho 0.5000 0.5000 0.5000
```

Output
Density, g/cm3: 7.08
Calculated volume, A^3/atom: 32.556
SG: R-3m

<two>
Material: CaHoLu2
Method: DFT, PBE-GGA
State: relaxed Values from VASP.

```
&SYSTEM
  ibrav = 0, nat = 4, ntyp = 3
/
ATOMIC_SPECIES
Ca 40.08 Ca.upf
Lu 174.97 Lu.upf
Ho 164.93 Ho.upf
CELL_PARAMETERS angstrom
-4.7396 -2.1421 2.2547
0.3069 -4.2765 3.7086
-1.1951 0.8988 5.4681
ATOMIC_POSITIONS crystal
Ca 0.5000 0.5000 0.5000
Lu 0.2500 0.2500 0.2500
Lu 0.7500 0.7500 0.7500
Ho 0.0000 0.0000 0.0000
```

Output
Density, g/cm3: 7.15
Calculated volume, A^3/atom: 32.204
SG: Fm-3m

<three>
Material: CaHoLu2
Method: DFT, PBE-GGA
State: relaxed Values from VASP.

```
&SYSTEM
  ibrav = 0, nat = 4, ntyp = 3
/
ATOMIC_SPECIES
Ca 40.08 Ca.upf
Lu 174.97 Lu.upf
Ho 164.93 Ho.upf
CELL_PARAMETERS angstrom
3.5665 0.0000 0.0000
0.0000 3.5665 0.0000
0.0000 0.0000 10.2414
ATOMIC_POSITIONS crystal
Ca 0.5000 0.5000 0.5000
Lu 0.0000 0.0000 0.7720
Lu 0.0000 0.0000 0.2280
Ho 0.5000 0.5000 0.0000
```

Output
Density, g/cm3: 7.07
Calculated volume, A^3/atom: 32.567
SG: P4/mmm

<four>
Material: CaHoLu2
Method: DFT, PBE-GGA
State: relaxed Values from VASP.

```
&SYSTEM
  ibrav = 0, nat = 4, ntyp = 3
/
ATOMIC_SPECIES
Ca 40.08 Ca.upf
Lu 174.97 Lu.upf
Ho 164.93 Ho.upf
CELL_PARAMETERS angstrom
5.0521 0.0000 0.0000
0.0000 5.0289 0.0000
0.0000 0.0000 5.0289
ATOMIC_POSITIONS crystal
Ca 0.5000 0.0000 0.0000
Lu 0.0000 0.0000 0.5000
Lu 0.0000 0.5000 0.0000
Ho 0.5000 0.5000 0.5000
```

Output
Density, g/cm3: 7.21
Calculated volume, A^3/atom: 31.942
SG: P4/mmm

Result of the stability comparison: <two> is the least stable of them.

<one>
Material: CaHoMg
Method: DFT, PBE-GGA
State: relaxed Values from VASP.

```
&SYSTEM
  ibrav = 0, nat = 6, ntyp = 3
/
ATOMIC_SPECIES
Ca 40.08 Ca.upf
Ho 164.93 Ho.upf
Mg 24.30 Mg.upf
CELL_PARAMETERS angstrom
-2.6501 -2.6274 -0.0649
2.6279 -2.6503 -0.0106
-0.1401 -0.1929 13.5232
ATOMIC_POSITIONS crystal
Ca 0.0000 0.5000 0.8914
Ca 0.5000 0.0000 0.1086
Ho 0.0000 0.5000 0.5844
Ho 0.5000 0.0000 0.4156
Mg 0.5000 0.0000 0.7315
Mg 0.0000 0.5000 0.2685
```

Output
Density, g/cm3: 4.04
Calculated volume, A^3/atom: 31.401
SG: P4/nmm

<two>
Material: CaHoMg
Method: DFT, PBE-GGA
State: relaxed Values from VASP.

```
&SYSTEM
  ibrav = 0, nat = 6, ntyp = 3
/
ATOMIC_SPECIES
Ca 40.08 Ca.upf
Ho 164.93 Ho.upf
Mg 24.30 Mg.upf
CELL_PARAMETERS angstrom
5.3450 0.0000 0.0000
0.0000 5.3450 0.0000
0.0000 0.0000 7.6893
ATOMIC_POSITIONS crystal
Ca 0.5000 0.5000 0.5000
Ca 0.0000 0.0000 0.5000
Ho 0.5000 0.5000 0.0000
Ho 0.0000 0.0000 0.0000
Mg 0.5000 0.0000 0.7649
Mg 0.0000 0.5000 0.2351
```

Output
Density, g/cm3: 3.47
Calculated volume, A^3/atom: 36.612
SG: P4/nmm

<three>
Material: CaHoMg
Method: DFT, PBE-GGA
State: relaxed Values from VASP.

```
&SYSTEM
  ibrav = 0, nat = 3, ntyp = 3
/
ATOMIC_SPECIES
Mg 24.30 Mg.upf
Ca 40.08 Ca.upf
Ho 164.93 Ho.upf
CELL_PARAMETERS angstrom
3.3946 0.0000 0.0000
0.0000 5.6212 0.0000
0.0000 -2.8106 4.8681
ATOMIC_POSITIONS crystal
Mg 0.7038 0.6667 0.3333
Ca 0.9537 0.0000 0.0000
Ho 0.3425 0.3333 0.6667
```

Output
Density, g/cm3: 4.10
Calculated volume, A^3/atom: 30.964
SG: P3m1

<four>
Material: CaHoMg
Method: DFT, PBE-GGA
State: relaxed Values from VASP.

```
&SYSTEM
  ibrav = 0, nat = 3, ntyp = 3
/
ATOMIC_SPECIES
Mg 24.30 Mg.upf
Ca 40.08 Ca.upf
Ho 164.93 Ho.upf
CELL_PARAMETERS angstrom
-3.6657 -0.2413 -0.6108
0.6347 -2.1904 -2.9441
1.2084 -4.2553 5.7818
ATOMIC_POSITIONS crystal
Mg 0.6726 0.6726 0.3451
Ca 0.0129 0.0129 0.0259
Ho 0.3145 0.3145 0.6290
```

Output
Density, g/cm3: 4.05
Calculated volume, A^3/atom: 31.375
SG: I4mm

Result of the stability comparison: <two> is the least stable of them.

<one>
Material: CaHoMgZn
Method: DFT, PBE-GGA
State: relaxed Values from VASP.

```
&SYSTEM
  ibrav = 0, nat = 4, ntyp = 4
/
ATOMIC_SPECIES
Ca 40.08 Ca.upf
Ho 164.93 Ho.upf
Mg 24.30 Mg.upf
Zn 65.41 Zn.upf
CELL_PARAMETERS angstrom
-2.0007 -1.3088 -2.7790
-1.2317 -2.6964 2.1566
-5.9954 4.4972 2.1985
ATOMIC_POSITIONS crystal
Ca 0.0000 0.0000 0.8813
Ho 0.0000 0.0000 0.3276
Mg 0.5000 0.5000 0.5939
Zn 0.5000 0.5000 0.1251
```

Output
Density, g/cm3: 4.66
Calculated volume, A^3/atom: 26.240
SG: P4mm

<two>
Material: CaHoMgZn
Method: DFT, PBE-GGA
State: relaxed Values from VASP.

```
&SYSTEM
  ibrav = 0, nat = 4, ntyp = 4
/
ATOMIC_SPECIES
Mg 24.30 Mg.upf
Zn 65.41 Zn.upf
Ca 40.08 Ca.upf
Ho 164.93 Ho.upf
CELL_PARAMETERS angstrom
5.2696 0.0000 0.0000
2.6348 4.5636 0.0000
2.6348 1.5212 4.3026
ATOMIC_POSITIONS crystal
Mg 0.5000 0.5000 0.5000
Zn 0.0000 0.0000 0.0000
Ca 0.2500 0.2500 0.2500
Ho 0.7500 0.7500 0.7500
```

Output
Density, g/cm3: 4.73
Calculated volume, A^3/atom: 25.868
SG: F-43m

Result of the stability comparison: <two> is the least stable of them.

<one>
Material: NaCaHo
Method: DFT, PBE-GGA
State: relaxed Values from VASP.

```
&SYSTEM
  ibrav = 0, nat = 6, ntyp = 3
/
ATOMIC_SPECIES
Ho 164.93 Ho.upf
Na 22.99 Na.upf
Ca 40.08 Ca.upf
CELL_PARAMETERS angstrom
-3.4579 1.3385 -0.2767
-2.8964 -2.1156 0.9798
-1.0239 6.0551 17.1035
ATOMIC_POSITIONS crystal
Ho 0.3086 0.3086 0.0743
Ho 0.6914 0.6914 0.9257
Na 0.1380 0.1380 0.5859
Na 0.8620 0.8620 0.4141
Ca 0.4131 0.4131 0.7607
Ca 0.5869 0.5869 0.2393
```

Output
Density, g/cm3: 3.50
Calculated volume, A^3/atom: 36.009
SG: R-3m

<two>
Material: NaCaHo
Method: DFT, PBE-GGA
State: relaxed Values from VASP.

```
&SYSTEM
  ibrav = 0, nat = 3, ntyp = 3
/
ATOMIC_SPECIES
Na 22.99 Na.upf
Ca 40.08 Ca.upf
Ho 164.93 Ho.upf
CELL_PARAMETERS angstrom
-2.7046 -1.8509 1.5939
2.3420 -1.7251 -2.1955
5.5067 -1.7821 7.2745
ATOMIC_POSITIONS crystal
Na 0.3333 0.6667 0.6736
Ca 0.6667 0.3333 0.3232
Ho 0.0000 0.0000 0.0033
```

Output
Density, g/cm3: 3.54
Calculated volume, A^3/atom: 35.641
SG: P3m1

Result of the stability comparison: <two> is the least stable of them.

<one>
Material: CaNd7Ho3
Method: DFT, PBE-GGA
State: relaxed Values from VASP.

```
&SYSTEM
  ibrav = 0, nat = 11, ntyp = 3
/
ATOMIC_SPECIES
Ca 40.08 Ca.upf
Nd 144.24 Nd.upf
Ho 164.93 Ho.upf
CELL_PARAMETERS angstrom
8.7543 0.0000 0.0000
0.0000 7.2460 0.0000
0.0000 -3.6230 6.2752
ATOMIC_POSITIONS crystal
Ca 0.4448 0.3333 0.6667
Nd 0.1049 0.1644 0.8356
Nd 0.1049 0.1644 0.3287
Nd 0.1250 0.6667 0.3333
Nd 0.4561 0.8318 0.1682
Nd 0.4561 0.3364 0.1682
Nd 0.4561 0.8318 0.6636
Nd 0.1049 0.6713 0.8356
Ho 0.7874 0.5023 0.4977
Ho 0.7874 0.5023 0.0045
Ho 0.7874 0.9955 0.4977
```

Output
Density, g/cm3: 6.44
Calculated volume, A^3/atom: 36.188
SG: P3m1

<two>
Material: CaNd7Ho3
Method: DFT, PBE-GGA
State: relaxed Values from VASP.

```
&SYSTEM
  ibrav = 0, nat = 11, ntyp = 3
/
ATOMIC_SPECIES
Ca 40.08 Ca.upf
Nd 144.24 Nd.upf
Ho 164.93 Ho.upf
CELL_PARAMETERS angstrom
-1.5228 3.0797 5.5901
-3.2769 -6.3384 3.2287
6.2929 -2.6761 3.8179
ATOMIC_POSITIONS crystal
Ca 0.5000 0.5000 0.5000
Nd 0.7908 0.2335 0.2335
Nd 0.7450 0.9222 0.5760
Nd 0.2550 0.4240 0.0778
Nd 0.7450 0.5760 0.9222
Nd 0.0000 0.5000 0.5000
Nd 0.2550 0.0778 0.4240
Nd 0.2092 0.7665 0.7665
Ho 0.0000 0.8336 0.1664
Ho 0.5000 0.0000 0.0000
Ho 0.0000 0.1664 0.8336
```

Output
Density, g/cm3: 6.46
Calculated volume, A^3/atom: 36.072
SG: C2/m

Result of the stability comparison: <two> is the least stable of them.

<one>
Material: CaNdHo2
Method: DFT, PBE-GGA
State: relaxed Values from VASP.

```
&SYSTEM
  ibrav = 0, nat = 4, ntyp = 3
/
ATOMIC_SPECIES
Ca 40.08 Ca.upf
Nd 144.24 Nd.upf
Ho 164.93 Ho.upf
CELL_PARAMETERS angstrom
-2.8807 -2.2141 0.4360
-0.3249 -2.0023 3.0468
-6.0301 8.8661 5.1834
ATOMIC_POSITIONS crystal
Ca 0.1391 0.3716 0.3133
Nd 0.1407 0.3705 0.8131
Ho 0.8073 0.0371 0.5721
Ho 0.8073 0.0372 0.0542
```

Output
Density, g/cm3: 6.18
Calculated volume, A^3/atom: 34.536
SG: Amm2

<two>
Material: CaNdHo2
Method: DFT, PBE-GGA
State: relaxed Values from VASP.

```
&SYSTEM
  ibrav = 0, nat = 4, ntyp = 3
/
ATOMIC_SPECIES
Ca 40.08 Ca.upf
Nd 144.24 Nd.upf
Ho 164.93 Ho.upf
CELL_PARAMETERS angstrom
-1.3794 -3.1675 -0.8929
1.8181 -2.9938 0.6816
-5.3765 -2.8344 11.2315
ATOMIC_POSITIONS crystal
Ca 0.0000 0.0000 0.0000
Nd 0.5000 0.5000 0.5000
Ho 0.0902 0.0902 0.7295
Ho 0.9098 0.9098 0.2705
```

Output
Density, g/cm3: 6.14
Calculated volume, A^3/atom: 34.745
SG: R-3m

Result of the stability comparison: <two> is the least stable of them.

<one>
Material: CaNdHo2
Method: DFT, PBE-GGA
State: relaxed Values from VASP.

```
&SYSTEM
  ibrav = 0, nat = 4, ntyp = 3
/
ATOMIC_SPECIES
Ca 40.08 Ca.upf
Nd 144.24 Nd.upf
Ho 164.93 Ho.upf
CELL_PARAMETERS angstrom
-2.3105 2.8177 0.2553
-2.4563 -1.8342 -1.9862
-3.9797 -4.0481 8.6598
ATOMIC_POSITIONS crystal
Ca 0.5000 0.5000 0.5000
Nd 0.5000 0.5000 0.0000
Ho 0.0000 0.0000 0.7664
Ho 0.0000 0.0000 0.2336
```

Output
Density, g/cm3: 6.18
Calculated volume, A^3/atom: 34.540
SG: P4/mmm

<two>
Material: CaNdHo2
Method: DFT, PBE-GGA
State: relaxed Values from VASP.

```
&SYSTEM
  ibrav = 0, nat = 4, ntyp = 3
/
ATOMIC_SPECIES
Ca 40.08 Ca.upf
Nd 144.24 Nd.upf
Ho 164.93 Ho.upf
CELL_PARAMETERS angstrom
5.7728 0.0000 0.0000
2.8864 4.9994 0.0000
2.8864 1.6665 4.7135
ATOMIC_POSITIONS crystal
Ca 0.5000 0.5000 0.5000
Nd 0.0000 0.0000 0.0000
Ho 0.2500 0.2500 0.2500
Ho 0.7500 0.7500 0.7500
```

Output
Density, g/cm3: 6.28
Calculated volume, A^3/atom: 34.008
SG: Fm-3m

Result of the stability comparison: <two> is the least stable of them.

<one>
Material: CaNdHo2
Method: DFT, PBE-GGA
State: relaxed Values from VASP.

```
&SYSTEM
  ibrav = 0, nat = 4, ntyp = 3
/
ATOMIC_SPECIES
Ca 40.08 Ca.upf
Nd 144.24 Nd.upf
Ho 164.93 Ho.upf
CELL_PARAMETERS angstrom
-1.9527 -1.5728 2.6130
-0.3192 -3.6059 0.1005
9.0527 -2.4018 7.8291
ATOMIC_POSITIONS crystal
Ca 0.5005 0.5005 0.4984
Nd 0.6662 0.6662 0.0015
Ho 0.0797 0.0797 0.7610
Ho 0.2536 0.2536 0.2391
```

Output
Density, g/cm3: 6.25
Calculated volume, A^3/atom: 34.149
SG: R3m

<two>
Material: CaNdHo2
Method: DFT, PBE-GGA
State: relaxed Values from VASP.

```
&SYSTEM
  ibrav = 0, nat = 4, ntyp = 3
/
ATOMIC_SPECIES
Ca 40.08 Ca.upf
Nd 144.24 Nd.upf
Ho 164.93 Ho.upf
CELL_PARAMETERS angstrom
5.1934 0.0000 0.0000
0.0000 5.1002 0.0000
0.0000 0.0000 5.1002
ATOMIC_POSITIONS crystal
Ca 0.5000 0.0000 0.0000
Nd 0.5000 0.5000 0.5000
Ho 0.0000 0.0000 0.5000
Ho 0.0000 0.5000 0.0000
```

Output
Density, g/cm3: 6.32
Calculated volume, A^3/atom: 33.773
SG: P4/mmm

Result of the stability comparison: <two> is the least stable of them.

<one>
Material: Ca2Nd4Ho
Method: DFT, PBE-GGA
State: relaxed Values from VASP.

```
&SYSTEM
  ibrav = 0, nat = 7, ntyp = 3
/
ATOMIC_SPECIES
Ca 40.08 Ca.upf
Nd 144.24 Nd.upf
Ho 164.93 Ho.upf
CELL_PARAMETERS angstrom
3.5407 0.0000 -0.5922
-0.2517 5.7296 -1.5053
0.2551 0.1994 12.4072
ATOMIC_POSITIONS crystal
Ca 0.2789 0.2788 0.5578
Ca 0.7211 0.7212 0.4422
Nd 0.0796 0.5799 0.1593
Nd 0.9204 0.4201 0.8407
Nd 0.3704 0.8703 0.7409
Nd 0.6296 0.1297 0.2591
Ho 0.0000 0.0000 0.0000
```

Output
Density, g/cm3: 5.38
Calculated volume, A^3/atom: 36.238
SG: Immm

<two>
Material: Ca2Nd4Ho
Method: DFT, PBE-GGA
State: relaxed Values from VASP.

```
&SYSTEM
  ibrav = 0, nat = 7, ntyp = 3
/
ATOMIC_SPECIES
Ca 40.08 Ca.upf
Nd 144.24 Nd.upf
Ho 164.93 Ho.upf
CELL_PARAMETERS angstrom
-0.3942 5.6484 -1.1393
-5.7621 -0.3859 0.0806
3.0824 -0.8503 9.3569
ATOMIC_POSITIONS crystal
Ca 0.3731 0.3731 0.7462
Ca 0.6269 0.6269 0.2538
Nd 0.1720 0.1720 0.3440
Nd 0.8280 0.8280 0.6560
Nd 0.0000 0.5000 0.0000
Nd 0.5000 0.0000 0.0000
Ho 0.0000 0.0000 0.0000
```

Output
Density, g/cm3: 4.54
Calculated volume, A^3/atom: 42.914
SG: I4/mmm

Result of the stability comparison: <two> is the least stable of them.

<one>
Material: CaNd12Ho7
Method: DFT, PBE-GGA
State: relaxed Values from VASP.

```
&SYSTEM
  ibrav = 0, nat = 20, ntyp = 3
/
ATOMIC_SPECIES
Ca 40.08 Ca.upf
Nd 144.24 Nd.upf
Ho 164.93 Ho.upf
CELL_PARAMETERS angstrom
9.7099 -0.4224 -0.6340
-3.1057 9.2096 -0.6340
-3.1057 -4.1323 8.2548
ATOMIC_POSITIONS crystal
Ca 0.0000 0.0000 0.0000
Nd 0.3478 0.0369 0.2141
Nd 0.9631 0.7859 0.6522
Nd 0.4025 0.7689 0.3404
Nd 0.2311 0.6596 0.5975
Nd 0.7859 0.6522 0.9631
Nd 0.6596 0.5975 0.2311
Nd 0.3404 0.4025 0.7689
Nd 0.2141 0.3478 0.0369
Nd 0.7689 0.3404 0.4025
Nd 0.5975 0.2311 0.6596
Nd 0.0369 0.2141 0.3478
Nd 0.6522 0.9631 0.7859
Ho 0.8702 0.0808 0.5758
Ho 0.9192 0.4242 0.1298
Ho 0.4242 0.1298 0.9192
Ho 0.5000 0.5000 0.5000
Ho 0.5758 0.8702 0.0808
Ho 0.0808 0.5758 0.8702
Ho 0.1298 0.9192 0.4242
```

Output
Density, g/cm3: 7.20
Calculated volume, A^3/atom: 33.740
SG: R-3

<two>
Material: CaNd12Ho7
Method: DFT, PBE-GGA
State: relaxed Values from VASP.

```
&SYSTEM
  ibrav = 0, nat = 20, ntyp = 3
/
ATOMIC_SPECIES
Ca 40.08 Ca.upf
Nd 144.24 Nd.upf
Ho 164.93 Ho.upf
CELL_PARAMETERS angstrom
9.5308 0.0000 -3.3696
-4.7654 8.2539 -3.3696
0.0000 0.0000 10.1089
ATOMIC_POSITIONS crystal
Ca 0.0000 0.0000 0.0000
Nd 0.4755 0.7370 0.7385
Nd 0.9986 0.7370 0.2615
Nd 0.5245 0.2630 0.2615
Nd 0.0014 0.2630 0.7385
Nd 0.7385 0.0014 0.2630
Nd 0.7385 0.4755 0.7370
Nd 0.2615 0.9986 0.7370
Nd 0.2615 0.5245 0.2630
Nd 0.7370 0.7385 0.4755
Nd 0.2630 0.2615 0.5245
Nd 0.7370 0.2615 0.9986
Nd 0.2630 0.7385 0.0014
Ho 0.5000 0.5000 0.0000
Ho 0.0000 0.5000 0.5000
Ho 0.5000 0.0000 0.5000
Ho 0.5000 0.5000 0.5000
Ho 0.0000 0.0000 0.5000
Ho 0.5000 0.0000 0.0000
Ho 0.0000 0.5000 0.0000
```

Output
Density, g/cm3: 6.11
Calculated volume, A^3/atom: 39.762
SG: Im-3

Result of the stability comparison: <two> is the least stable of them.